The following is a DFT calculation (PBE) of Sc8Ni2Rh after structural relaxation.

Cell: 8.227 8.227 6.265 Å, 107.97 107.97 33.08°
Element x y z (fractional)
Sc (0.033, 0.033, 0.289)
Sc (0.196, 0.196, 0.810)
Sc (0.328, 0.328, 0.526)
Sc (0.403, 0.403, 0.046)
Sc (0.597, 0.597, 0.954)
Sc (0.672, 0.672, 0.474)
Sc (0.804, 0.804, 0.190)
Sc (0.967, 0.967, 0.711)
Ni (0.182, 0.182, 0.199)
Ni (0.818, 0.818, 0.801)
Rh (0.500, 0.500, 0.500)

Output
- ΔE to the lowest computed polymorph: 0.00 eV per formula unit
- M_tot: 0.000 μB/f.u.
- Crystal system: monoclinic
- Uncorrected energy: -6.726 eV/atom
- Formation enthalpy at 0 K: -0.4016 eV/atom

The following is a DFT calculation (PBE) of Sc8Ni2Rh after structural relaxation.

Cell: 7.145 7.145 5.136 Å, 99.79 99.79 114.69°
Element x y z (fractional)
Sc (0.081, 0.332, 0.596)
Sc (0.218, 0.782, 0.000)
Sc (0.332, 0.081, 0.596)
Sc (0.366, 0.366, 0.181)
Sc (0.634, 0.634, 0.819)
Sc (0.668, 0.919, 0.404)
Sc (0.782, 0.218, 0.000)
Sc (0.919, 0.668, 0.404)
Ni (0.304, 0.696, 0.500)
Ni (0.696, 0.304, 0.500)
Rh (0.000, 0.000, 0.000)

Output
- ΔE to the lowest computed polymorph: 1.23 eV per formula unit
- M_tot: 0.002 μB/f.u.
- Crystal system: monoclinic
- Uncorrected energy: -6.614 eV/atom
- Formation enthalpy at 0 K: -0.2896 eV/atom

The following is a DFT calculation (PBE) of Sc2NiRh after structural relaxation.

Cell: 8.538 8.538 8.538 Å, 21.82 21.82 21.82°
Element x y z (fractional)
Sc (0.000, 0.000, 0.000)
Sc (0.212, 0.212, 0.212)
Ni (0.478, 0.478, 0.478)
Rh (0.738, 0.738, 0.738)

Output
- M_tot: 0.000 μB/f.u.
- Crystal system: trigonal
- Uncorrected energy: -6.552 eV/atom
- Formation enthalpy at 0 K: -0.1026 eV/atom

The following is a DFT calculation (PBE) of Sc2Ni3Rh after structural relaxation.

Cell: 5.075 5.075 5.075 Å, 57.45 57.45 57.45°
Element x y z (fractional)
Sc (0.122, 0.122, 0.122)
Sc (0.878, 0.878, 0.878)
Ni (0.000, 0.500, 0.500)
Ni (0.500, 0.000, 0.500)
Ni (0.500, 0.500, 0.000)
Rh (0.500, 0.500, 0.500)

Output
- M_tot: 0.000 μB/f.u.
- Crystal system: trigonal
- Uncorrected energy: -6.816 eV/atom
- Formation enthalpy at 0 K: -0.5892 eV/atom

The following is a DFT calculation (PBE) of ScNi2Rh after structural relaxation.

Cell: 4.648 4.648 4.648 Å, 131.49 131.49 71.03°
Element x y z (fractional)
Sc (0.000, 0.000, 0.000)
Ni (0.250, 0.750, 0.500)
Ni (0.750, 0.250, 0.500)
Rh (0.500, 0.500, 0.000)

Output
- M_tot: 0.594 μB/f.u.
- Crystal system: tetragonal
- Uncorrected energy: -6.714 eV/atom
- Formation enthalpy at 0 K: -0.4031 eV/atom

The following is a DFT calculation (PBE) of ScNiRh3 after structural relaxation.

Cell: 4.597 4.597 4.597 Å, 90.00 90.00 90.00°
Element x y z (fractional)
Sc (0.000, 0.000, 0.000)
Ni (0.500, 0.500, 0.500)
Rh (0.000, 0.000, 0.500)
Rh (0.000, 0.500, 0.000)
Rh (0.500, 0.000, 0.000)

Output
- ΔE to the lowest computed polymorph: 3.44 eV per formula unit
- M_tot: 2.346 μB/f.u.
- Crystal system: cubic
- Uncorrected energy: -5.711 eV/atom
- Formation enthalpy at 0 K: 1.1228 eV/atom

The following is a DFT calculation (PBE) of ScNi2Rh after structural relaxation.

Cell: 4.286 4.286 4.286 Å, 60.00 60.00 60.00°
Element x y z (fractional)
Sc (0.000, 0.000, 0.000)
Ni (0.250, 0.250, 0.250)
Ni (0.500, 0.500, 0.500)
Rh (0.750, 0.750, 0.750)

Output
- M_tot: 0.001 μB/f.u.
- Crystal system: cubic
- Uncorrected energy: -6.649 eV/atom
- Formation enthalpy at 0 K: -0.3372 eV/atom

The following is a DFT calculation (PBE) of Sc2NiRh after structural relaxation.

Cell: 5.702 5.702 5.702 Å, 105.21 105.21 118.38°
Element x y z (fractional)
Sc (0.119, 0.625, 0.994)
Sc (0.375, 0.369, 0.494)
Sc (0.631, 0.125, 0.006)
Sc (0.875, 0.881, 0.506)
Ni (0.000, 0.000, 0.000)
Ni (0.750, 0.250, 0.500)
Rh (0.250, 0.750, 0.500)
Rh (0.500, 0.500, 0.000)

Output
- M_tot: 0.000 μB/f.u.
- Crystal system: tetragonal
- Uncorrected energy: -6.797 eV/atom
- Formation enthalpy at 0 K: -0.3483 eV/atom

The following is a DFT calculation (PBE) of Sc2SiNiRh after structural relaxation.

Cell: 4.849 4.849 4.558 Å, 90.00 90.00 90.00°
Element x y z (fractional)
Sc (0.000, 0.500, 0.000)
Sc (0.500, 0.000, 0.000)
Si (0.000, 0.000, 0.500)
Ni (0.500, 0.500, 0.500)
Rh (0.500, 0.500, 0.000)

Output
- Formation energy (no corrections): 0.22 eV/atom
- M_tot: 0.832 μB/f.u.
- Crystal system: tetragonal
- Uncorrected energy: -6.022 eV/atom

The following is a DFT calculation (PBE) of ScSi2NiRh after structural relaxation.

Cell: 5.658 5.658 5.658 Å, 139.98 139.98 57.88°
Element x y z (fractional)
Sc (0.000, 0.000, 0.000)
Si (0.383, 0.383, 0.000)
Si (0.617, 0.617, 0.000)
Ni (0.750, 0.250, 0.500)
Rh (0.250, 0.750, 0.500)

Output
- Formation energy (no corrections): -0.89 eV/atom
- M_tot: 0.000 μB/f.u.
- Crystal system: tetragonal
- Uncorrected energy: -6.949 eV/atom

The following is a DFT calculation (PBE) of ScSiNiRh after structural relaxation.

Cell: 4.297 4.297 4.297 Å, 60.00 60.00 60.00°
Element x y z (fractional)
Sc (0.000, 0.000, 0.000)
Si (0.500, 0.500, 0.500)
Ni (0.250, 0.250, 0.250)
Rh (0.750, 0.750, 0.750)

Output
- Formation energy (no corrections): -0.75 eV/atom
- M_tot: 0.000 μB/f.u.
- Crystal system: cubic
- Uncorrected energy: -6.972 eV/atom

The following is a DFT calculation (PBE) of SmScNiRh after structural relaxation.

Cell: 4.745 4.745 4.745 Å, 60.00 60.00 60.00°
Element x y z (fractional)
Sm (0.000, 0.000, 0.000)
Sc (0.500, 0.500, 0.500)
Ni (0.250, 0.250, 0.250)
Rh (0.750, 0.750, 0.750)

Output
- M_tot: 0.000 μB/f.u.
- Crystal system: cubic
- Uncorrected energy: -6.612 eV/atom
- Formation enthalpy at 0 K: -0.5664 eV/atom

The following is a DFT calculation (PBE) of ScNiSnRh after structural relaxation.

Cell: 4.514 4.514 4.514 Å, 60.00 60.00 60.00°
Element x y z (fractional)
Sc (0.000, 0.000, 0.000)
Ni (0.750, 0.750, 0.750)
Sn (0.500, 0.500, 0.500)
Rh (0.250, 0.250, 0.250)

Output
- M_tot: 0.000 μB/f.u.
- Crystal system: cubic
- Uncorrected energy: -6.558 eV/atom
- Formation enthalpy at 0 K: -0.6916 eV/atom

The following is a DFT calculation (PBE) of TbScNiRh after structural relaxation.

Cell: 4.699 4.699 4.699 Å, 60.00 60.00 60.00°
Element x y z (fractional)
Tb (0.000, 0.000, 0.000)
Sc (0.500, 0.500, 0.500)
Ni (0.250, 0.250, 0.250)
Rh (0.750, 0.750, 0.750)

Output
- M_tot: 0.000 μB/f.u.
- Crystal system: cubic
- Uncorrected energy: -6.665 eV/atom
- Formation enthalpy at 0 K: -0.6414 eV/atom

The following is a DFT calculation (PBE) of ScNiTe2Rh after structural relaxation.

Cell: 5.191 5.191 4.512 Å, 90.00 90.00 90.00°
Element x y z (fractional)
Sc (0.000, 0.000, 0.000)
Ni (0.500, 0.500, 0.000)
Te (0.000, 0.500, 0.500)
Te (0.500, 0.000, 0.500)
Rh (0.500, 0.500, 0.500)

Output
- Formation energy (no corrections): 0.14 eV/atom
- M_tot: 0.960 μB/f.u.
- Crystal system: tetragonal
- Uncorrected energy: -5.005 eV/atom

The following is a DFT calculation (PBE) of ScTlNiRh after structural relaxation.

Cell: 4.564 4.564 4.564 Å, 60.00 60.00 60.00°
Element x y z (fractional)
Sc (0.000, 0.000, 0.000)
Tl (0.500, 0.500, 0.500)
Ni (0.750, 0.750, 0.750)
Rh (0.250, 0.250, 0.250)

Output
- M_tot: 0.000 μB/f.u.
- Crystal system: cubic
- Uncorrected energy: -5.826 eV/atom
- Formation enthalpy at 0 K: -0.3683 eV/atom

The following is a DFT calculation (PBE) of Sc5Tl2Ni2Rh after structural relaxation.

Cell: 10.995 10.995 3.254 Å, 90.00 90.00 90.00°
Element x y z (fractional)
Sc (0.000, 0.500, 0.000)
Sc (0.067, 0.196, 0.000)
Sc (0.196, 0.933, 0.000)
Sc (0.304, 0.433, 0.000)
Sc (0.433, 0.696, 0.000)
Sc (0.500, 0.000, 0.000)
Sc (0.567, 0.304, 0.000)
Sc (0.696, 0.567, 0.000)
Sc (0.804, 0.067, 0.000)
Sc (0.933, 0.804, 0.000)
Tl (0.174, 0.674, 0.500)
Tl (0.326, 0.174, 0.500)
Tl (0.674, 0.826, 0.500)
Tl (0.826, 0.326, 0.500)
Ni (0.131, 0.369, 0.500)
Ni (0.369, 0.869, 0.500)
Ni (0.631, 0.131, 0.500)
Ni (0.869, 0.631, 0.500)
Rh (0.000, 0.000, 0.500)
Rh (0.500, 0.500, 0.500)

Output
- M_tot: 0.000 μB/f.u.
- Crystal system: tetragonal
- Uncorrected energy: -6.000 eV/atom
- Formation enthalpy at 0 K: -0.4696 eV/atom

The following is a DFT calculation (PBE) of TmScNiRh after structural relaxation.

Cell: 4.650 4.650 4.650 Å, 60.00 60.00 60.00°
Element x y z (fractional)
Tm (0.000, 0.000, 0.000)
Sc (0.500, 0.500, 0.500)
Ni (0.750, 0.750, 0.750)
Rh (0.250, 0.250, 0.250)

Output
- M_tot: 0.000 μB/f.u.
- Crystal system: cubic
- Uncorrected energy: -6.695 eV/atom
- Formation enthalpy at 0 K: -0.7114 eV/atom

The following is a DFT calculation (PBE) of ScVNiRh after structural relaxation.

Cell: 4.387 4.387 4.387 Å, 60.00 60.00 60.00°
Element x y z (fractional)
Sc (0.000, 0.000, 0.000)
V (0.500, 0.500, 0.500)
Ni (0.750, 0.750, 0.750)
Rh (0.250, 0.250, 0.250)

Output
- M_tot: 1.929 μB/f.u.
- Crystal system: cubic
- Uncorrected energy: -7.499 eV/atom
- Formation enthalpy at 0 K: -0.3528 eV/atom

The following is a DFT calculation (PBE) of Y2ScNiRh after structural relaxation.

Cell: 5.385 5.385 4.187 Å, 90.00 90.00 90.00°
Element x y z (fractional)
Y (0.000, 0.500, 0.000)
Y (0.500, 0.000, 0.000)
Sc (0.000, 0.000, 0.000)
Ni (0.000, 0.000, 0.500)
Rh (0.500, 0.500, 0.500)

Output
- M_tot: 0.885 μB/f.u.
- Crystal system: tetragonal
- Uncorrected energy: -5.652 eV/atom
- Formation enthalpy at 0 K: 0.8268 eV/atom